# YMg4Cu2 | the Alexandria database | GGA-PBE | optimized geometry
# Volume = 191.7 Å³/f.u.
# Electronic total energy = -2.614 eV per atom
# Magnetic moment = 0.0 μB per formula unit
# Energy relative to the elements = 0.3907 eV per atom
# Polymorph energy (0 for the lowest one) = 0.512 eV/atom
data_YMg4Cu2
_space_group_name_H-M_alt 'I 4/m m m'
_space_group_IT_number 139
_space_group_name_Hall '-I 4 2'
_cell_length_a 8.9659
_cell_length_b 8.9659
_cell_length_c 4.7692
_cell_angle_alpha 90.00
_cell_angle_beta 90.00
_cell_angle_gamma 90.00
loop_
_atom_site_label
_atom_site_type_symbol
_atom_site_fract_x
_atom_site_fract_y
_atom_site_fract_z
Y1 Y 0.0000 0.0000 0.0000
Mg1 Mg 0.0000 0.2499 0.5000
Cu1 Cu 0.0000 0.5000 0.2500